Computed, not measured: an optimized crystal structure of MgNpPt6 at the PBE-GGA level of DFT.

```
data_MgNpPt6
_symmetry_space_group_name_H-M 'P 4/m m m'
_symmetry_Int_Tables_number 123
_symmetry_space_group_name_Hall '-P 4 2'
_cell_length_a 4.070
_cell_length_b 4.070
_cell_length_c 8.073
_cell_angle_alpha 90.00
_cell_angle_beta 90.00
_cell_angle_gamma 90.00
loop_
_atom_site_label
_atom_site_type_symbol
_atom_site_fract_x
_atom_site_fract_y
_atom_site_fract_z
Mg1 Mg 0.000 0.000 0.000
Np1 Np 0.000 0.000 0.500
Pt1 Pt 0.000 0.500 0.244
Pt2 Pt 0.500 0.500 0.000
Pt3 Pt 0.500 0.500 0.500
```

V (Å³ per cell): 133.7
Electronic total energy (eV/atom): -6.97
Spin magnetization (μB/cell): 2.28
ΔH_f (0 K) (meV/atom): -626.7

Computed, not measured: an optimized crystal structure of MgNpPt2 at the PBE-GGA level of DFT.

```
data_MgNpPt2
_symmetry_space_group_name_H-M 'P 4/m m m'
_symmetry_Int_Tables_number 123
_symmetry_space_group_name_Hall '-P 4 2'
_cell_length_a 5.032
_cell_length_b 5.032
_cell_length_c 2.988
_cell_angle_alpha 90.00
_cell_angle_beta 90.00
_cell_angle_gamma 90.00
loop_
_atom_site_label
_atom_site_type_symbol
_atom_site_fract_x
_atom_site_fract_y
_atom_site_fract_z
Mg1 Mg 0.000 0.000 0.000
Np1 Np 0.500 0.500 0.000
Pt1 Pt 0.000 0.500 0.500
```

V (Å³ per cell): 75.7
Electronic total energy (eV/atom): -7.27
Spin magnetization (μB/cell): 3.85
ΔH_f (0 K) (meV/atom): -611.1

Computed, not measured: an optimized crystal structure of MgNpPtRh at the PBE-GGA level of DFT.

```
data_MgNpPtRh
_symmetry_space_group_name_H-M 'F -4 3 m'
_symmetry_Int_Tables_number 216
_symmetry_space_group_name_Hall 'F -4 2 3'
_cell_length_a 6.663
_cell_length_b 6.663
_cell_length_c 6.663
_cell_angle_alpha 90.00
_cell_angle_beta 90.00
_cell_angle_gamma 90.00
loop_
_atom_site_label
_atom_site_type_symbol
_atom_site_fract_x
_atom_site_fract_y
_atom_site_fract_z
Mg1 Mg 0.000 0.000 0.000
Np1 Np 0.000 0.000 0.500
Pt1 Pt 0.250 0.250 0.750
Rh1 Rh 0.250 0.250 0.250
```

V (Å³ per cell): 295.9
Electronic total energy (eV/atom): -7.48
Spin magnetization (μB/cell): 13.59
ΔH_f (0 K) (meV/atom): -496.4

Computed, not measured: an optimized crystal structure of MgNp2PtRh5 at the PBE-GGA level of DFT.

```
data_MgNp2PtRh5
_symmetry_space_group_name_H-M 'I 4/m c m'
_symmetry_Int_Tables_number 140
_symmetry_space_group_name_Hall '-I 4 2c'
_cell_length_a 6.973
_cell_length_b 6.973
_cell_length_c 12.902
_cell_angle_alpha 90.00
_cell_angle_beta 90.00
_cell_angle_gamma 90.00
loop_
_atom_site_label
_atom_site_type_symbol
_atom_site_fract_x
_atom_site_fract_y
_atom_site_fract_z
Mg1 Mg 0.000 0.000 0.250
Np1 Np 0.120 0.380 0.000
Pt1 Pt 0.000 0.500 0.250
Rh1 Rh 0.000 0.000 0.000
Rh2 Rh 0.231 0.269 0.356
```

V (Å³ per cell): 627.3
Electronic total energy (eV/atom): -7.94
Spin magnetization (μB/cell): 0.01
ΔH_f (0 K) (meV/atom): -128.6

Computed, not measured: an optimized crystal structure of MgNpSi2Pt2 at the PBE-GGA level of DFT.

```
data_MgNpSi2Pt2
_symmetry_space_group_name_H-M 'P -3 m 1'
_symmetry_Int_Tables_number 164
_symmetry_space_group_name_Hall '-P 3 2"'
_cell_length_a 4.2339
_cell_length_b 4.2339
_cell_length_c 6.8694
_cell_angle_alpha 90.00
_cell_angle_beta 90.00
_cell_angle_gamma 120.00
loop_
_atom_site_label
_atom_site_type_symbol
_atom_site_fract_x
_atom_site_fract_y
_atom_site_fract_z
Mg1 Mg 0.0000 0.0000 0.0000
Np1 Np 0.0000 0.0000 0.5000
Si1 Si 0.3333 0.6667 0.2232
Pt1 Pt 0.3333 0.6667 0.8027
```

V (Å³ per cell): 106.6
Electronic total energy (eV/atom): -6.90
Spin magnetization (μB/cell): 3.99

Computed, not measured: an optimized crystal structure of MgNp2Si3Pt4 at the PBE-GGA level of DFT.

```
data_MgNp2Si3Pt4
_symmetry_space_group_name_H-M 'P -4 m 2'
_symmetry_Int_Tables_number 115
_cell_length_a 4.109
_cell_length_b 4.109
_cell_length_c 10.704
_cell_angle_alpha 90.00
_cell_angle_beta 90.00
_cell_angle_gamma 90.00
loop_
_symmetry_equiv_pos_as_xyz
'x,y,z'
'y,-x,-z'
'-x,-y,z'
'-y,x,-z'
'-x,y,z'
'-y,-x,-z'
'x,-y,z'
'y,x,-z'
loop_
_atom_site_label
_atom_site_type_symbol
_atom_site_fract_x
_atom_site_fract_y
_atom_site_fract_z
Mg1 Mg 0.000 0.000 0.000
Np1 Np 0.000 0.500 0.745
Si1 Si 0.000 0.500 0.370
Si2 Si 0.500 0.500 0.000
Pt1 Pt 0.000 0.000 0.500
Pt2 Pt 0.000 0.500 0.148
Pt3 Pt 0.500 0.500 0.500
```

V (Å³ per cell): 180.7
Electronic total energy (eV/atom): -7.49
Spin magnetization (μB/cell): 8.11

- Which value of electronic total energy does entry 1 give?
  -6.97 eV/atom